(1)
PmHgMo2O8: relaxed, PBE+U.

Cell lengths 6.406, 6.406, 6.406 Å; angles 106.31, 106.31, 116.00 degrees
Each line ends with the local moment (μB).
Element x y z (fractional)
Pm 0.250 0.750 0.500  0.00
Hg 0.000 0.000 0.000  0.16
Mo 0.750 0.250 0.500  0.07
Mo 0.500 0.500 0.000  0.05
O 0.398 0.073 0.324  0.01
O 0.350 0.544 0.194  0.00
O 0.350 0.156 0.806  0.00
O 0.749 0.073 0.676  0.01
O 0.844 0.650 0.194  0.00
O 0.927 0.251 0.324  0.01
O 0.927 0.602 0.676  0.01
O 0.456 0.650 0.806  0.00

Values from the calculation:
The space-group type is No. 119. The magnetization comes out at 0.38 Bohr magnetons per cell. For the final energy, the calculation gives -79.92 eV/cell.

***

(2)
PmHgMoO5: relaxed, PBE+U.

Cell lengths 6.537, 6.537, 8.769 Å; angles 106.85, 106.85, 102.11 degrees
Each line ends with the local moment (μB).
Element x y z (fractional)
Pm 0.000 0.000 0.500  0.01
Pm 0.000 0.000 0.000  0.01
Hg 0.291 0.709 0.250  0.32
Hg 0.709 0.291 0.750  0.32
Mo 0.679 0.321 0.250  0.05
Mo 0.321 0.679 0.750  0.05
O 0.073 0.927 0.250  0.28
O 0.927 0.073 0.750  0.28
O 0.851 0.283 0.123  0.01
O 0.149 0.717 0.877  0.01
O 0.717 0.149 0.377  0.01
O 0.283 0.851 0.623  0.01
O 0.766 0.613 0.386  0.01
O 0.234 0.387 0.614  0.01
O 0.387 0.234 0.114  0.01
O 0.613 0.766 0.886  0.01

Values from the calculation:
The space-group type is No. 15. The magnetization comes out at 1.98 Bohr magnetons per cell. For the final energy, the calculation gives -103.14 eV/cell.

***

N(E_F) list, top to bottom, in states/eV per atom: 0.34; 0.13